(1)
Below is a relaxed structure of SiIrRh, with properties calculated at the PBEsol level.

abc: 5.573 5.573 5.573
angles: 90.00 90.00 90.00
Sites, in units of the cell vectors:
1 Si 0.000 0.000 0.000
2 Si 0.000 0.500 0.500
3 Si 0.500 0.000 0.500
4 Si 0.500 0.500 0.000
5 Ir 0.250 0.250 0.750
6 Ir 0.250 0.750 0.250
7 Ir 0.750 0.250 0.250
8 Ir 0.750 0.750 0.750
9 Rh 0.250 0.250 0.250
10 Rh 0.250 0.750 0.750
11 Rh 0.750 0.250 0.750
12 Rh 0.750 0.750 0.250

Values from the calculation:
Uncorrected formation energy (eV/atom): -0.58
SG: F-43m, No. 216


(2)
Below is a relaxed structure of Sm2IrRh, with properties calculated at the PBEsol level.

abc: 6.888 6.888 6.888
angles: 90.00 90.00 90.00
Sites, in units of the cell vectors:
1 Sm 0.250 0.250 0.250
2 Sm 0.250 0.250 0.750
3 Sm 0.250 0.750 0.250
4 Sm 0.250 0.750 0.750
5 Sm 0.750 0.250 0.250
6 Sm 0.750 0.250 0.750
7 Sm 0.750 0.750 0.250
8 Sm 0.750 0.750 0.750
9 Ir 0.000 0.000 0.000
10 Ir 0.000 0.500 0.500
11 Ir 0.500 0.000 0.500
12 Ir 0.500 0.500 0.000
13 Rh 0.000 0.000 0.500
14 Rh 0.000 0.500 0.000
15 Rh 0.500 0.000 0.000
16 Rh 0.500 0.500 0.500

Values from the calculation:
SG: Fm-3m, No. 225
Formation enthalpy at 0 K (meV/atom): -651.7


(3)
Below is a relaxed structure of SnIrRh3, with properties calculated at the PBEsol level.

abc: 4.665 4.665 4.665
angles: 90.00 90.00 90.00
Sites, in units of the cell vectors:
1 Sn 0.000 0.000 0.000
2 Ir 0.500 0.500 0.500
3 Rh 0.000 0.000 0.500
4 Rh 0.000 0.500 0.000
5 Rh 0.500 0.000 0.000

Values from the calculation:
SG: Pm-3m, No. 221
Formation enthalpy at 0 K (meV/atom): 1914.6


(4)
Below is a relaxed structure of Sn2IrRh2, with properties calculated at the PBEsol level.

abc: 3.965 3.965 11.502
angles: 90.00 90.00 90.00
Sites, in units of the cell vectors:
1 Sn 0.000 0.500 0.250
2 Sn 0.000 0.500 0.750
3 Sn 0.500 0.000 0.250
4 Sn 0.500 0.000 0.750
5 Ir 0.000 0.000 0.000
6 Ir 0.500 0.500 0.500
7 Rh 0.000 0.000 0.397
8 Rh 0.000 0.000 0.603
9 Rh 0.500 0.500 0.103
10 Rh 0.500 0.500 0.897

Values from the calculation:
SG: I4/mmm, No. 139
Formation enthalpy at 0 K (meV/atom): 511.0


(5)
Below is a relaxed structure of Sn3IrRh, with properties calculated at the PBEsol level.

abc: 4.981 4.981 4.981
angles: 90.00 90.00 90.00
Sites, in units of the cell vectors:
1 Sn 0.000 0.000 0.500
2 Sn 0.000 0.500 0.000
3 Sn 0.500 0.000 0.000
4 Ir 0.000 0.000 0.000
5 Rh 0.500 0.500 0.500

Values from the calculation:
SG: Pm-3m, No. 221
Formation enthalpy at 0 K (meV/atom): 619.5


(6)
Below is a relaxed structure of SrIr3Rh, with properties calculated at the PBEsol level.

abc: 4.738 4.738 4.738
angles: 90.00 90.00 90.00
Sites, in units of the cell vectors:
1 Sr 0.000 0.000 0.000
2 Ir 0.000 0.500 0.500
3 Ir 0.500 0.000 0.500
4 Ir 0.500 0.500 0.000
5 Rh 0.500 0.500 0.500

Values from the calculation:
SG: Pm-3m, No. 221
Formation enthalpy at 0 K (meV/atom): 1220.5


Calculated calculated volume in order - 14.43; 20.42; 20.30; 18.08; 24.71; 21.28 A^3/atom
Calculated electronic total energy in order - -8.48; -7.69; -5.79; -6.41; -5.53; -6.67 eV/atom